# ScCo6Ge6, relaxed, DFT PBE-GGA
# Offset from the most stable computed form: 0.0000 eV per atom
# Energy of formation from the pure elements: -0.36 eV per atom
# Volume: 13.19 A^3/atom
# Crystal system: hexagonal
data_ScCo6Ge6
_symmetry_space_group_name_H-M 'P 6/m m m'
_symmetry_Int_Tables_number 191
_symmetry_space_group_name_Hall '-P 6 2'
_cell_length_a 5.0443
_cell_length_b 5.0443
_cell_length_c 7.7807
_cell_angle_alpha 90.00
_cell_angle_beta 90.00
_cell_angle_gamma 120.00
loop_
_atom_site_label
_atom_site_fract_x
_atom_site_fract_y
_atom_site_fract_z
Sc1 0.0000 0.0000 0.0000
Co1 0.0000 0.5000 0.2496
Ge1 0.0000 0.0000 0.3398
Ge2 0.3333 0.6667 0.0000
Ge3 0.3333 0.6667 0.5000